A plane-wave DFT calculation with meta-GGA SCAN was carried out for ScMnRh at its PBEsol-relaxed geometry.

Results
Polymorph energy (0 for the lowest one) in eV/f.u.: 0.04
SG: I4mm, No. 107
E_form in eV/atom: -0.521

a b c (Å): 5.288 5.288 5.288
angles (deg): 146.08 146.08 48.73
Element x y z (fractional)
Sc: 0.000 0.000 0.000
Mn: 0.317 0.317 0.000
Rh: 0.670 0.670 0.000

---

A plane-wave DFT calculation with meta-GGA SCAN was carried out for Mo2CO at its PBEsol-relaxed geometry.

Results
Polymorph energy (0 for the lowest one) in eV/f.u.: 0.00
SG: I-42d, No. 122

a b c (Å): 5.488 5.488 5.488
angles (deg): 128.06 128.06 76.53
Element x y z (fractional)
Mo: 0.121 0.625 0.996
Mo: 0.375 0.371 0.496
Mo: 0.629 0.125 0.004
Mo: 0.875 0.879 0.504
C: 0.000 0.000 0.000
C: 0.750 0.250 0.500
O: 0.250 0.750 0.500
O: 0.500 0.500 0.000

---

Number 1: E_tot -67.828 eV for the cell shown. Number 2: E_tot -172.986 eV for the cell shown.